Crystalline KRe2As2 at its relaxed geometry, computed with PBE.

Cell: 4.7640 4.7640 9.0070 Å, 90.00 90.00 90.00°
Space group I4/mmm (No. 139)
One atom of each set of equivalent atoms:
K (0.0000, 0.0000, 0.0000) x2
Re (0.0000, 0.0000, 0.3734) x4
As (0.0000, 0.5000, 0.2500) x4

Properties
Its final energy is -67.68 eV per cell. For the total magnetization, the calculation gives 0.0 μB/cell.